A crystal of TlGaPO2 relaxed with PBEsol, computed with meta-GGA SCAN.

Lattice parameters (Å, degrees): 3.8044 3.8044 5.1792 90.00 90.00 90.00
Last column: nearest neighbours and their distance in Å.
Positions (direct):
1 Ga 0.0000 0.0000 0.0000  4 O 1.90
2 O 0.0000 0.5000 0.0000  2 Ga 1.90
3 O 0.5000 0.0000 0.0000  2 Ga 1.90
4 Tl 0.5000 0.5000 0.5000  4 P 2.69
5 P 0.0000 0.0000 0.5000  2 Ga 2.59, 4 Tl 2.69

Results
**Density of states at the Fermi level**: 2.79 states/eV per cell
**Space group**: P4/mmm
**Formation energy from raw total energies**: -0.37 eV/atom

A crystal of Zr2GaP3O12 relaxed with PBEsol, computed with meta-GGA SCAN.

Lattice parameters (Å, degrees): 8.8177 8.8177 9.3752 61.95 61.95 60.00
Last column: nearest neighbours and their distance in Å.
Positions (direct):
1 O 0.2102 0.4328 0.7787  1 P 1.54
2 O 0.3705 0.2294 0.4081  1 P 1.54
3 O 0.7102 0.0782 0.2787  1 P 1.54
4 O 0.7898 0.5672 0.2213  1 P 1.54
5 O 0.0672 0.2898 0.7213  1 P 1.54
6 O 0.9218 0.0672 0.7213  1 P 1.54
7 O 0.1295 0.5081 0.0919  1 P 1.54
8 O 0.2706 0.1295 0.0919  1 P 1.54
9 O 0.9328 0.7102 0.2787  1 P 1.54
10 O 0.2898 0.9218 0.7213  1 P 1.54
11 O 0.5081 0.2706 0.0919  1 P 1.54
12 O 0.4328 0.5782 0.7787  1 P 1.54
13 O 0.4919 0.7294 0.9081  1 P 1.54
14 O 0.0782 0.9328 0.2787  1 P 1.54
15 O 0.5782 0.2102 0.7787  1 P 1.54
16 O 0.0081 0.6295 0.5919  1 P 1.54
17 O 0.8705 0.4919 0.9081  1 P 1.54
18 O 0.9919 0.3705 0.4081  1 P 1.54
19 O 0.5672 0.4218 0.2213  1 P 1.54
20 O 0.2294 0.9919 0.4081  1 P 1.54
21 O 0.4218 0.7898 0.2213  1 P 1.54
22 O 0.7294 0.8705 0.9081  1 P 1.54
23 O 0.6295 0.7706 0.5919  1 P 1.54
24 O 0.7706 0.0081 0.5919  1 P 1.54
25 Ga 0.0000 0.0000 0.0000  6 O 2.74
26 Ga 0.5000 0.5000 0.5000  6 O 2.74
27 P 0.7500 0.0378 0.7500  4 O 1.54
28 P 0.5378 0.2500 0.2500  4 O 1.54
29 P 0.4622 0.7500 0.7500  4 O 1.54
30 P 0.9622 0.5378 0.2500  4 O 1.54
31 P 0.0378 0.4622 0.7500  4 O 1.54
32 P 0.2500 0.9622 0.2500  4 O 1.54
33 Zr 0.8522 0.8522 0.4433  6 O 2.05-2.09
34 Zr 0.6478 0.6478 0.0567  6 O 2.05-2.09
35 Zr 0.3522 0.3522 0.9433  6 O 2.05-2.09
36 Zr 0.1478 0.1478 0.5567  6 O 2.05-2.09

Results
**Density of states at the Fermi level**: 0.00 states/eV per cell
**Space group**: R-3c
**Formation energy from raw total energies**: -2.84 eV/atom

A crystal of Ga2PbO4 relaxed with PBEsol, computed with meta-GGA SCAN.

Lattice parameters (Å, degrees): 5.2523 5.3651 8.5598 90.00 90.00 119.31
Last column: nearest neighbours and their distance in Å.
Positions (direct):
1 Pb 0.9722 0.9497 0.2500  3 O 2.29-2.40
2 Pb 0.0225 0.0503 0.7500  3 O 2.29-2.40
3 Ga 0.3636 0.6535 0.0522  4 O 1.83-1.86
4 Ga 0.7102 0.3465 0.5522  4 O 1.83-1.86
5 Ga 0.3636 0.6535 0.4478  4 O 1.83-1.86
6 Ga 0.7102 0.3465 0.9478  4 O 1.83-1.86
7 O 0.8738 0.3867 0.7500  2 Ga 1.86
8 O 0.6802 0.0000 0.0000  2 Ga 1.84
9 O 0.3694 0.3624 0.9392  2 Ga 1.83-1.85
10 O 0.0070 0.6376 0.0608  2 Ga 1.83-1.85
11 O 0.3694 0.3624 0.5608  2 Ga 1.83-1.85
12 O 0.6802 0.0000 0.5000  2 Ga 1.84
13 O 0.0070 0.6376 0.4392  2 Ga 1.83-1.85
14 O 0.4871 0.6133 0.2500  2 Ga 1.86

Results
**Density of states at the Fermi level**: 0.00 states/eV per cell
**Space group**: Ama2
**Formation energy from raw total energies**: -1.80 eV/atom

A crystal of GaPbO2 relaxed with PBEsol, computed with meta-GGA SCAN.

Lattice parameters (Å, degrees): 3.0992 3.0992 7.0278 77.26 77.26 60.00
Last column: nearest neighbours and their distance in Å.
Positions (direct):
1 O 0.1184 0.1184 0.6449  3 Ga 2.04
2 O 0.8816 0.8816 0.3551  3 Ga 2.04
3 Ga 0.5000 0.5000 0.5000  6 O 2.04
4 Pb 0.0000 0.0000 0.0000  2 O 2.41

Results
**Density of states at the Fermi level**: 0.40 states/eV per cell
**Space group**: R-3m
**Formation energy from raw total energies**: -1.45 eV/atom

A crystal of GaPdO2 relaxed with PBEsol, computed with meta-GGA SCAN.

Lattice parameters (Å, degrees): 2.9270 2.9270 6.2836 76.53 76.53 60.00
Last column: nearest neighbours and their distance in Å.
Positions (direct):
1 Ga 0.5000 0.5000 0.5000  6 O 1.97
2 Pd 0.0000 0.0000 0.0000  2 O 2.00
3 O 0.1104 0.1104 0.6689  3 Ga 1.97, 1 Pd 2.00
4 O 0.8896 0.8896 0.3311  3 Ga 1.97, 1 Pd 2.00

Results
**Density of states at the Fermi level**: 0.58 states/eV per cell
**Space group**: R-3m
**Formation energy from raw total energies**: -1.43 eV/atom

A crystal of GaSiPd2O relaxed with PBEsol, computed with meta-GGA SCAN.

Lattice parameters (Å, degrees): 4.4062 4.4062 4.6894 90.00 90.00 90.00
Last column: nearest neighbours and their distance in Å.
Positions (direct):
1 O 0.5000 0.5000 0.5000  4 Ga 3.12, 8 Pd 3.22
2 Pd 0.0000 0.5000 0.0000  2 Si 2.20
3 Pd 0.5000 0.0000 0.0000  2 Si 2.20
4 Ga 0.0000 0.0000 0.5000  2 Si 2.34
5 Si 0.0000 0.0000 0.0000  4 Pd 2.20, 2 Ga 2.34

Results
**Density of states at the Fermi level**: 0.83 states/eV per cell
**Space group**: P4/mmm
**Formation energy from raw total energies**: 0.55 eV/atom

A crystal of Pr3GaO6 relaxed with PBEsol, computed with meta-GGA SCAN.

Lattice parameters (Å, degrees): 5.5990 7.4125 7.4125 102.77 90.00 90.00
Last column: nearest neighbours and their distance in Å.
Positions (direct):
1 Ga 0.9921 0.1915 0.8085  4 O 1.85-1.88
2 Ga 0.4921 0.8085 0.1915  4 O 1.85-1.88
3 O 0.2967 0.3285 0.3535  4 Pr 2.32-2.38
4 O 0.7967 0.3535 0.3285  4 Pr 2.32-2.38
5 O 0.3258 0.8939 0.4141  1 Ga 1.88
6 O 0.3612 0.9584 0.0416  1 Ga 1.88
7 O 0.3183 0.2154 0.7846  1 Ga 1.85
8 O 0.2967 0.6465 0.6715  4 Pr 2.32-2.38
9 O 0.7967 0.6715 0.6465  4 Pr 2.32-2.38
10 O 0.8612 0.0416 0.9584  1 Ga 1.88
11 O 0.8258 0.4141 0.8939  1 Ga 1.88
12 O 0.8183 0.7846 0.2154  1 Ga 1.85
13 O 0.3258 0.5859 0.1061  1 Ga 1.88
14 O 0.8258 0.1061 0.5859  1 Ga 1.88
15 Pr 0.5707 0.3955 0.6045  7 O 2.37-2.56
16 Pr 0.5269 0.9143 0.7013  5 O 2.32-2.47
17 Pr 0.0707 0.6045 0.3955  7 O 2.37-2.56
18 Pr 0.0269 0.7013 0.9143  5 O 2.32-2.47
19 Pr 0.0269 0.0857 0.2987  5 O 2.32-2.47
20 Pr 0.5269 0.2987 0.0857  5 O 2.32-2.47

Results
**Density of states at the Fermi level**: 0.00 states/eV per cell
**Space group**: Cmc2_1
**Formation energy from raw total energies**: -3.30 eV/atom

A crystal of SrPrGa3O7 relaxed with PBEsol, computed with meta-GGA SCAN.

Lattice parameters (Å, degrees): 5.2962 7.9964 7.9964 90.21 90.00 90.00
Last column: nearest neighbours and their distance in Å.
Positions (direct):
1 O 0.1843 0.0000 0.0000  2 Ga 1.83
2 O 0.6948 0.1494 0.1494  1 Ga 1.80
3 O 0.6948 0.8506 0.8506  1 Ga 1.80
4 O 0.2104 0.9057 0.6581  2 Ga 1.85-1.87
5 O 0.2104 0.0943 0.3419  2 Ga 1.85-1.87
6 O 0.7926 0.8340 0.4202  2 Ga 1.84-1.86
7 O 0.7926 0.5798 0.1660  2 Ga 1.84-1.86
8 O 0.7926 0.4202 0.8340  2 Ga 1.84-1.86
9 O 0.2104 0.3419 0.0943  2 Ga 1.85-1.87
10 O 0.3076 0.3700 0.6300  1 Ga 1.81
11 O 0.7951 0.5000 0.5000  2 Ga 1.86
12 O 0.7926 0.1660 0.5798  2 Ga 1.84-1.86
13 O 0.3076 0.6300 0.3700  1 Ga 1.81
14 O 0.2104 0.6581 0.9057  2 Ga 1.85-1.87
15 Ga 0.9672 0.6427 0.3573  4 O 1.81-1.86
16 Ga 0.0340 0.8544 0.8544  4 O 1.80-1.87
17 Ga 0.0002 0.0000 0.5000  4 O 1.84-1.85
18 Ga 0.0002 0.5000 0.0000  4 O 1.84-1.85
19 Ga 0.0340 0.1456 0.1456  4 O 1.80-1.87
20 Ga 0.9672 0.3573 0.6427  4 O 1.81-1.86
21 Pr 0.4902 0.6618 0.6618  6 O 2.39-2.54
22 Pr 0.4902 0.3382 0.3382  6 O 2.39-2.54
23 Sr 0.5102 0.1614 0.8386  6 O 2.51-2.67
24 Sr 0.5102 0.8386 0.1614  6 O 2.51-2.67

Results
**Density of states at the Fermi level**: 0.00 states/eV per cell
**Space group**: Cmm2
**Formation energy from raw total energies**: -2.66 eV/atom

A crystal of GaPtO2 relaxed with PBEsol, computed with meta-GGA SCAN.

Lattice parameters (Å, degrees): 2.9097 2.9097 6.3197 76.69 76.69 60.00
Last column: nearest neighbours and their distance in Å.
Positions (direct):
1 Ga 0.5000 0.5000 0.5000  6 O 1.97
2 O 0.8894 0.8894 0.3317  3 Ga 1.97, 1 Pt 2.02
3 O 0.1106 0.1106 0.6683  3 Ga 1.97, 1 Pt 2.02
4 Pt 0.0000 0.0000 0.0000  2 O 2.02

Results
**Density of states at the Fermi level**: 0.83 states/eV per cell
**Space group**: R-3m
**Formation energy from raw total energies**: -1.39 eV/atom

A crystal of GaPtO2 relaxed with PBEsol, computed with meta-GGA SCAN.

Lattice parameters (Å, degrees): 2.9097 2.9097 12.1848 90.00 90.00 120.00
Last column: nearest neighbours and their distance in Å.
Positions (direct):
1 O 0.3333 0.6667 0.0842  3 Ga 1.97, 1 Pt 2.02
2 O 0.6667 0.3333 0.5842  3 Ga 1.97, 1 Pt 2.02
3 O 0.3333 0.6667 0.4158  3 Ga 1.97, 1 Pt 2.02
4 O 0.6667 0.3333 0.9158  3 Ga 1.97, 1 Pt 2.02
5 Ga 0.0000 0.0000 0.0000  6 O 1.97
6 Ga 0.0000 0.0000 0.5000  6 O 1.97
7 Pt 0.6667 0.3333 0.7500  2 O 2.02
8 Pt 0.3333 0.6667 0.2500  2 O 2.02

Results
**Density of states at the Fermi level**: 1.67 states/eV per cell
**Space group**: P6_3/mmc
**Formation energy from raw total energies**: -1.39 eV/atom

A crystal of Ga3ReO relaxed with PBEsol, computed with meta-GGA SCAN.

Lattice parameters (Å, degrees): 4.7780 4.7780 4.7780 90.00 90.00 90.00
Last column: nearest neighbours and their distance in Å.
Positions (direct):
1 Re 0.0000 0.0000 0.0000  6 Ga 2.39
2 Ga 0.0000 0.5000 0.0000  2 Re 2.39
3 Ga 0.5000 0.0000 0.0000  2 Re 2.39
4 Ga 0.0000 0.0000 0.5000  2 Re 2.39
5 O 0.5000 0.5000 0.5000  12 Ga 3.38

Results
**Density of states at the Fermi level**: 6.18 states/eV per cell
**Space group**: Pm-3m
**Formation energy from raw total energies**: 0.70 eV/atom